[1]
Entry from the Alexandria database: a relaxed structure of PaBeRhN (PBE).

DFT total energy ... -8.20 eV per atom
SG ... P4/nmm, No. 129
Spin magnetization ... 0.0 μB/f.u.
Formation energy (no corrections) ... -975 meV per atom

abc: 3.8503 3.8503 7.4065
angles: 90.00 90.00 90.00
Last column: nearest neighbours and their distance in Å.
Positions (direct):
Pa 0.2500 0.2500 0.1800  1 N 2.19
Pa 0.7500 0.7500 0.8200  1 N 2.19
Be 0.2500 0.2500 0.6634  1 N 1.63
Be 0.7500 0.7500 0.3366  1 N 1.63
Rh 0.2500 0.7500 0.5000  4 Be 2.27
Rh 0.7500 0.2500 0.5000  4 Be 2.27
N 0.2500 0.2500 0.8840  1 Be 1.63
N 0.7500 0.7500 0.1160  1 Be 1.63

---

[2]
Entry from the Alexandria database: a relaxed structure of CoCu2W (PBE).

DFT total energy ... -6.82 eV per atom
Energy relative to the lowest polymorph listed for this composition ... 0.054 eV/atom
SG ... R3m, No. 160
Spin magnetization ... 0.7 μB/f.u.
DFT formation energy ... 0.240 eV per atom

abc: 2.6721 2.6721 25.3255
angles: 90.00 90.00 120.00
Last column: nearest neighbours and their distance in Å.
Positions (direct):
Co 0.0000 0.0000 0.0000  3 Cu 2.56, 3 W 2.59, 6 Co 2.67
Co 0.3333 0.6667 0.6667  3 Cu 2.56, 3 W 2.59, 6 Co 2.67
Co 0.6667 0.3333 0.3333  3 Cu 2.56, 3 W 2.59, 6 Co 2.67
Cu 0.0000 0.0000 0.4943  9 Cu 2.55-2.67, 3 W 2.76
Cu 0.0000 0.0000 0.7473  9 Cu 2.55-2.67, 3 Co 2.56
Cu 0.3333 0.6667 0.1610  9 Cu 2.55-2.67, 3 W 2.76
Cu 0.3333 0.6667 0.4140  9 Cu 2.55-2.67, 3 Co 2.56
Cu 0.6667 0.3333 0.0806  9 Cu 2.55-2.67, 3 Co 2.56
Cu 0.6667 0.3333 0.8277  9 Cu 2.55-2.67, 3 W 2.76
W 0.0000 0.0000 0.2514  3 Co 2.59, 6 W 2.67, 3 Cu 2.76
W 0.3333 0.6667 0.9181  3 Co 2.59, 6 W 2.67, 3 Cu 2.76
W 0.6667 0.3333 0.5847  3 Co 2.59, 6 W 2.67, 3 Cu 2.76

---

[3]
Entry from the Alexandria database: a relaxed structure of Rb2NbCl (PBE).

DFT total energy ... -3.16 eV per atom
Energy relative to the lowest polymorph listed for this composition ... 0.000 eV/atom
SG ... I-42d, No. 122
Spin magnetization ... 3.8 μB/f.u.
Formation energy (no corrections) ... 302 meV per atom

abc: 13.1225 13.1225 4.8891
angles: 90.00 90.00 90.00
Last column: nearest neighbours and their distance in Å.
Positions (direct):
Rb 0.0809 0.7500 0.1250  2 Cl 3.50, 2 Nb 3.91
Rb 0.2500 0.0809 0.8750  2 Cl 3.50, 2 Nb 3.91
Rb 0.2500 0.4191 0.3750  2 Cl 3.50, 2 Nb 3.91
Rb 0.4191 0.7500 0.6250  2 Cl 3.50, 2 Nb 3.91
Rb 0.5809 0.2500 0.6250  2 Cl 3.50, 2 Nb 3.91
Rb 0.7500 0.5809 0.3750  2 Cl 3.50, 2 Nb 3.91
Rb 0.7500 0.9191 0.8750  2 Cl 3.50, 2 Nb 3.91
Rb 0.9191 0.2500 0.1250  2 Cl 3.50, 2 Nb 3.91
Nb 0.0000 0.0000 0.5000  2 Cl 2.44
Nb 0.0000 0.5000 0.7500  2 Cl 2.44
Nb 0.5000 0.0000 0.2500  2 Cl 2.44
Nb 0.5000 0.5000 0.0000  2 Cl 2.44
Cl 0.0000 0.0000 0.0000  2 Nb 2.44
Cl 0.0000 0.5000 0.2500  2 Nb 2.44
Cl 0.5000 0.0000 0.7500  2 Nb 2.44
Cl 0.5000 0.5000 0.5000  2 Nb 2.44

---

[4]
Entry from the Alexandria database: a relaxed structure of ScMo2Cl (PBE).

DFT total energy ... -7.26 eV per atom
Energy relative to the lowest polymorph listed for this composition ... 0.425 eV/atom
SG ... Pmmm, No. 47
Spin magnetization ... 0.0 μB/f.u.
Formation energy (no corrections) ... 196 meV per atom

abc: 3.1739 4.0989 5.4202
angles: 90.00 90.00 90.00
Last column: nearest neighbours and their distance in Å.
Positions (direct):
Sc 0.0000 0.0000 0.0000  4 Cl 2.59
Mo 0.0000 0.5000 0.5000  4 Mo 2.59
Mo 0.5000 0.0000 0.5000  4 Mo 2.59
Cl 0.5000 0.5000 0.0000  4 Sc 2.59

---

[5]
Entry from the Alexandria database: a relaxed structure of BaGdSn2 (PBE).

DFT total energy ... -6.64 eV per atom
SG ... P4/mmm, No. 123
Spin magnetization ... 7.3 μB/f.u.
DFT formation energy ... -0.638 eV per atom

abc: 4.1640 4.1640 7.5223
angles: 90.00 90.00 90.00
Last column: nearest neighbours and their distance in Å.
Positions (direct):
Ba 0.0000 0.0000 0.0000  8 Sn 3.72, 2 Gd 3.76, 4 Ba 4.16
Gd 0.0000 0.0000 0.5000  8 Sn 3.30
Sn 0.5000 0.5000 0.3020  1 Sn 2.98, 4 Gd 3.30
Sn 0.5000 0.5000 0.6980  1 Sn 2.98, 4 Gd 3.30

---

[6]
Entry from the Alexandria database: a relaxed structure of SiTeIr2 (PBE).

DFT total energy ... -6.23 eV per atom
Energy relative to the lowest polymorph listed for this composition ... 0.544 eV/atom
SG ... P4/mmm, No. 123
Spin magnetization ... 0.0 μB/f.u.
Formation energy (no corrections) ... 340 meV per atom

abc: 4.2625 4.2625 3.6108
angles: 90.00 90.00 90.00
Last column: nearest neighbours and their distance in Å.
Positions (direct):
Si 0.0000 0.0000 0.0000  8 Ir 2.79, 4 Te 3.01
Te 0.5000 0.5000 0.0000  8 Ir 2.79, 4 Si 3.01
Ir 0.0000 0.5000 0.5000  4 Te 2.79, 4 Si 2.79, 4 Ir 3.01
Ir 0.5000 0.0000 0.5000  4 Te 2.79, 4 Si 2.79, 4 Ir 3.01

---

[7]
Entry from the Alexandria database: a relaxed structure of CsCd4Bi2 (PBE).

DFT total energy ... -1.86 eV per atom
Energy relative to the lowest polymorph listed for this composition ... 0.000 eV/atom
SG ... R-3m, No. 166
Spin magnetization ... 0.0 μB/f.u.
DFT formation energy ... -0.101 eV per atom

abc: 10.2131 10.2131 10.2131
angles: 30.71 30.71 30.71
Last column: nearest neighbours and their distance in Å.
Positions (direct):
Cs 0.0000 0.0000 0.0000  2 Cd 3.89, 6 Bi 4.20
Cd 0.1333 0.1333 0.1333  4 Bi 3.03-3.31, 3 Cd 3.17
Cd 0.4488 0.4488 0.4488  4 Cd 2.99-3.17, 3 Bi 3.17
Cd 0.5512 0.5512 0.5512  4 Cd 2.99-3.17, 3 Bi 3.17
Cd 0.8667 0.8667 0.8667  4 Bi 3.03-3.31, 3 Cd 3.17
Bi 0.2372 0.2372 0.2372  7 Cd 3.03-3.31
Bi 0.7628 0.7628 0.7628  7 Cd 3.03-3.31

---

[8]
Entry from the Alexandria database: a relaxed structure of Nb2VSe6 (PBE).

DFT total energy ... -6.36 eV per atom
Energy relative to the lowest polymorph listed for this composition ... 0.000 eV/atom
SG ... C2/m, No. 12
Spin magnetization ... 1.5 μB/f.u.
Formation energy (no corrections) ... -782 meV per atom

abc: 8.8001 8.8001 8.0415
angles: 114.37 114.37 22.63
Last column: nearest neighbours and their distance in Å.
Positions (direct):
Nb 0.1603 0.1603 0.3241  6 Se 2.55-2.67
Nb 0.8397 0.8397 0.6759  6 Se 2.55-2.67
V 0.5000 0.5000 0.0000  6 Se 2.54
Se 0.0006 0.0006 0.7688  2 V 2.54, 1 Nb 2.55
Se 0.3289 0.3289 0.4229  3 Nb 2.61-2.67
Se 0.3408 0.3408 0.9191  1 V 2.54, 2 Nb 2.60
Se 0.6592 0.6592 0.0809  1 V 2.54, 2 Nb 2.60
Se 0.6711 0.6711 0.5771  3 Nb 2.61-2.67
Se 0.9994 0.9994 0.2312  2 V 2.54, 1 Nb 2.55

---

[9]
Entry from the Alexandria database: a relaxed structure of TmTiS2 (PBE).

DFT total energy ... -6.70 eV per atom
Energy relative to the lowest polymorph listed for this composition ... 0.007 eV/atom
SG ... R3m, No. 160
Spin magnetization ... 0.5 μB/f.u.
Formation energy (no corrections) ... -1548 meV per atom

abc: 3.6022 3.6022 19.0620
angles: 90.00 90.00 120.00
Last column: nearest neighbours and their distance in Å.
Positions (direct):
Tm 0.0000 0.0000 0.0000  6 S 2.67-2.76
Tm 0.3333 0.6667 0.6667  6 S 2.67-2.76
Tm 0.6667 0.3333 0.3333  6 S 2.67-2.76
Ti 0.0000 0.0000 0.1770  6 S 2.46-2.60
Ti 0.3333 0.6667 0.8437  6 S 2.46-2.60
Ti 0.6667 0.3333 0.5103  6 S 2.46-2.60
S 0.0000 0.0000 0.5788  3 Ti 2.46, 3 Tm 2.67
S 0.0000 0.0000 0.7618  3 Ti 2.60, 3 Tm 2.76
S 0.3333 0.6667 0.2454  3 Ti 2.46, 3 Tm 2.67
S 0.3333 0.6667 0.4284  3 Ti 2.60, 3 Tm 2.76
S 0.6667 0.3333 0.0951  3 Ti 2.60, 3 Tm 2.76
S 0.6667 0.3333 0.9121  3 Ti 2.46, 3 Tm 2.67

---

[10]
Entry from the Alexandria database: a relaxed structure of K7Rb3Au (PBE).

DFT total energy ... -1.30 eV per atom
SG ... Cm, No. 8
Spin magnetization ... 0.0 μB/f.u.
DFT formation energy ... -0.035 eV per atom

abc: 8.3321 8.3321 12.4884
angles: 101.71 101.71 107.47
Last column: nearest neighbours and their distance in Å.
Positions (direct):
K 0.0000 0.0000 0.0000  1 Au 3.58
K 0.0703 0.6988 0.4268  1 Au 3.49
K 0.2019 0.2019 0.3745  1 Au 3.32
K 0.5011 0.5011 0.1984  1 Au 3.35
K 0.5190 0.9385 0.0725  1 Au 3.38
K 0.6988 0.0703 0.4268  1 Au 3.49
K 0.9385 0.5190 0.0725  1 Au 3.38
Rb 0.1249 0.4577 0.7595  3 Rb 4.47-5.01, 4 K 4.48-4.97
Rb 0.4577 0.1249 0.7595  3 Rb 4.47-5.01, 4 K 4.48-4.97
Rb 0.6706 0.6706 0.6394  4 K 4.56-4.67, 4 Rb 4.75-5.01
Au 0.8508 0.8508 0.2240  7 K 3.32-3.58

---

[11]
Entry from the Alexandria database: a relaxed structure of Al2ReNi (PBE).

DFT total energy ... -6.57 eV per atom
Energy relative to the lowest polymorph listed for this composition ... 0.232 eV/atom
SG ... P4mm, No. 99
Spin magnetization ... 0.0 μB/f.u.
DFT formation energy ... -0.141 eV per atom

abc: 3.1324 3.1324 5.5747
angles: 90.00 90.00 90.00
Last column: nearest neighbours and their distance in Å.
Positions (direct):
Al 0.0000 0.0000 0.0000  4 Re 2.57, 2 Ni 2.71-2.87, 4 Al 2.72
Al 0.5000 0.5000 0.2837  4 Ni 2.48, 1 Re 2.70, 4 Al 2.72
Re 0.5000 0.5000 0.7674  5 Al 2.57-2.70, 4 Ni 2.72
Ni 0.0000 0.0000 0.4856  5 Al 2.48-2.71, 4 Re 2.72

---

[12]
Entry from the Alexandria database: a relaxed structure of Tb2Ho6Er3Zr (PBE).

DFT total energy ... -4.87 eV per atom
SG ... C2/m, No. 12
Spin magnetization ... 0.0 μB/f.u.
DFT formation energy ... 0.044 eV per atom

abc: 6.0473 6.0473 11.5715
angles: 94.97 94.97 119.91
Last column: nearest neighbours and their distance in Å.
Positions (direct):
Tb 0.1668 0.8332 0.0000  6 Ho 3.46-3.47, 3 Zr 3.49-3.50, 3 Tb 3.49
Tb 0.8332 0.1668 0.0000  6 Ho 3.46-3.47, 3 Zr 3.49-3.50, 3 Tb 3.49
Ho 0.0911 0.4181 0.7540  6 Ho 3.42-3.53, 1 Zr 3.43, 2 Tb 3.46-3.47, 3 Er 3.52-3.55
Ho 0.2551 0.2551 0.2457  1 Zr 3.43, 6 Ho 3.43-3.53, 2 Tb 3.46, 3 Er 3.52-3.55
Ho 0.4181 0.0911 0.7540  6 Ho 3.42-3.53, 1 Zr 3.43, 2 Tb 3.46-3.47, 3 Er 3.52-3.55
Ho 0.5819 0.9089 0.2460  6 Ho 3.42-3.53, 1 Zr 3.43, 2 Tb 3.46-3.47, 3 Er 3.52-3.55
Ho 0.7449 0.7449 0.7543  1 Zr 3.43, 6 Ho 3.43-3.53, 2 Tb 3.46, 3 Er 3.52-3.55
Ho 0.9089 0.5819 0.2460  6 Ho 3.42-3.53, 1 Zr 3.43, 2 Tb 3.46-3.47, 3 Er 3.52-3.55
Er 0.0000 0.0000 0.5000  6 Er 3.49, 6 Ho 3.52-3.55
Er 0.3334 0.6666 0.5000  6 Er 3.49-3.50, 6 Ho 3.52-3.55
Er 0.6666 0.3334 0.5000  6 Er 3.49-3.50, 6 Ho 3.52-3.55
Zr 0.5000 0.5000 0.0000  6 Ho 3.43, 6 Tb 3.49-3.50